[1]
Here is TlFeRePd after structural relaxation from OQMD. Energies are from PBE.

Structure (CIF):
```
data_TlFeRePd
_cell_length_a 6.3561
_cell_length_b 6.3561
_cell_length_c 6.3561
_cell_angle_alpha 90.00
_cell_angle_beta 90.00
_cell_angle_gamma 90.00
_symmetry_space_group_name_H-M 'F -4 3 m'
_symmetry_Int_Tables_number 216
_symmetry_space_group_name_Hall 'F -4 2 3'
loop_
_atom_site_label
_atom_site_type_symbol
_atom_site_fract_x
_atom_site_fract_y
_atom_site_fract_z
_atom_site_occupancy
Tl1 Tl 0.0000 0.0000 0.0000 1
Fe1 Fe 0.2500 0.2500 0.2500 1
Re1 Re 0.0000 0.0000 0.5000 1
Pd1 Pd 0.2500 0.2500 0.7500 1
```

## Properties
Total magnetization (Bohr magnetons per cell): 13.9
VASP energy (eV per atom): -6.41


[2]
Here is PuBeCo after structural relaxation from OQMD. Energies are from PBE.

Structure (CIF):
```
data_PuBeCo
_cell_length_a 5.8963
_cell_length_b 5.8963
_cell_length_c 5.8963
_cell_angle_alpha 90.00
_cell_angle_beta 90.00
_cell_angle_gamma 90.00
_symmetry_space_group_name_H-M 'F -4 3 m'
_symmetry_Int_Tables_number 216
_symmetry_space_group_name_Hall 'F -4 2 3'
loop_
_atom_site_label
_atom_site_type_symbol
_atom_site_fract_x
_atom_site_fract_y
_atom_site_fract_z
_atom_site_occupancy
Pu1 Pu 0.0000 0.0000 0.0000 1
Be1 Be 0.0000 0.0000 0.5000 1
Co1 Co 0.2500 0.2500 0.7500 1
```

## Properties
Total magnetization (Bohr magnetons per cell): 19.5
VASP energy (eV per atom): -8.00